Computed, not measured: a relaxed structure of InCo2Rh at the GGA-PBE level of DFT.

Unit cell a=2.791 b=3.668 c=5.561 alpha=90.00 beta=90.11 gamma=90.00
Space group P2/m (No. 10)
One atom of each set of equivalent atoms:
In 0.000 0.000 0.000 x1
Co 0.500 0.500 0.277 x2
Rh 0.000 0.000 0.500 x1

Output
For the energy of formation, the calculation gives 0.142 eV/atom.